Entry from OQMD: an optimized crystal structure of PmDyPu (PBE).

Output
- energy of formation from the pure elements (eV per atom) = 0.818

Cell: 5.3064 5.3064 5.3064 Å, 60.00 60.00 60.00°
Element x y z (fractional)
Pm: 0.0000 0.0000 0.0000
Dy: 0.7500 0.7500 0.7500
Pu: 0.2500 0.2500 0.2500


Entry from OQMD: an optimized crystal structure of PmDyS2 (PBE).

Output
- energy above the most stable polymorph in this dataset (kJ/mol of formula units) = 0

Cell: 3.9525 3.9525 6.8983 Å, 106.71 106.71 60.15°
Element x y z (fractional)
Pm: 0.0000 0.0000 0.0000
Dy: 0.5000 0.5000 0.5000
S: 0.2459 0.2459 0.7375
S: 0.7541 0.7541 0.2625


Entry from OQMD: an optimized crystal structure of PmDyS2 (PBE).

Output
- energy above the most stable polymorph in this dataset (kJ/mol of formula units) = 7

Cell: 3.9676 3.9676 5.6127 Å, 90.00 90.00 90.00°
Element x y z (fractional)
Pm: 0.0000 0.0000 0.0000
Dy: 0.5000 0.5000 0.5000
S: 0.0000 0.0000 0.5000
S: 0.5000 0.5000 0.0000


Entry from OQMD: an optimized crystal structure of PmDySb2 (PBE).

Output
- final energy (eV per atom) = -5.55

Cell: 4.4347 4.4347 6.2715 Å, 90.00 90.00 90.00°
Element x y z (fractional)
Pm: 0.0000 0.0000 0.0000
Dy: 0.5000 0.5000 0.5000
Sb: 0.0000 0.0000 0.5000
Sb: 0.5000 0.5000 0.0000


Entry from OQMD: an optimized crystal structure of Pm4DySe5 (PBE).

Output
- final energy (eV per atom) = -5.92

Cell: 17.1243 17.1243 17.1243 Å, 13.99 13.99 13.99°
Element x y z (fractional)
Pm: 0.1010 0.1010 0.1010
Pm: 0.2995 0.2995 0.2995
Pm: 0.7005 0.7005 0.7005
Pm: 0.8990 0.8990 0.8990
Dy: 0.5000 0.5000 0.5000
Se: 0.0000 0.0000 0.0000
Se: 0.1979 0.1979 0.1979
Se: 0.4008 0.4008 0.4008
Se: 0.5992 0.5992 0.5992
Se: 0.8021 0.8021 0.8021


Entry from OQMD: an optimized crystal structure of Pm3Sm2Dy (PBE).

Output
- energy of formation from the pure elements (eV per atom) = -0.005

Cell: 6.2972 6.2972 11.7062 Å, 90.00 90.00 59.96°
Element x y z (fractional)
Pm: 0.0008 0.9992 0.5000
Pm: 0.3335 0.3351 0.0001
Pm: 0.3351 0.3335 0.5001
Pm: 0.6649 0.6665 0.0001
Pm: 0.6665 0.6649 0.5001
Pm: 0.9992 0.0008 0.0000
Sm: 0.0011 0.3329 0.2499
Sm: 0.3329 0.0011 0.7499
Sm: 0.6671 0.9989 0.2499
Sm: 0.9989 0.6671 0.7499
Dy: 0.3331 0.6669 0.2499
Dy: 0.6669 0.3331 0.7499


Entry from OQMD: an optimized crystal structure of PmSmDy (PBE).

Output
- energy above the most stable polymorph in this dataset (kJ/mol of formula units) = 0
- energy of formation from the pure elements (eV per atom) = 0.730

Cell: 5.4800 5.4800 5.4800 Å, 60.00 60.00 60.00°
Element x y z (fractional)
Pm: 0.0000 0.0000 0.0000
Sm: 0.7500 0.7500 0.7500
Dy: 0.5000 0.5000 0.5000


Entry from OQMD: an optimized crystal structure of Pm3Dy2Sn3 (PBE).

Output
- final energy (eV per atom) = -5.15

Cell: 9.1230 9.1230 6.6578 Å, 90.00 90.00 120.00°
Element x y z (fractional)
Pm: 0.0000 0.2414 0.2500
Pm: 0.0000 0.7586 0.7500
Pm: 0.2414 0.0000 0.2500
Pm: 0.2414 0.2414 0.7500
Pm: 0.7586 0.0000 0.7500
Pm: 0.7586 0.7586 0.2500
Dy: 0.3333 0.6667 0.0000
Dy: 0.3333 0.6667 0.5000
Dy: 0.6667 0.3333 0.0000
Dy: 0.6667 0.3333 0.5000
Sn: 0.0000 0.3972 0.7500
Sn: 0.0000 0.6028 0.2500
Sn: 0.3972 0.0000 0.7500
Sn: 0.3972 0.3972 0.2500
Sn: 0.6028 0.0000 0.2500
Sn: 0.6028 0.6028 0.7500